# 1
# Tl2InFe

A relaxed structure of Tl2InFe (GGA-PBE, Alexandria).

Cell lengths 4.546, 4.580, 4.580 Å; angles 90.00, 90.00, 90.00 degrees
Fractional positions:
1 Fe 0.500 0.500 0.000
2 In 0.500 0.000 0.500
3 Tl 0.000 0.000 0.000
4 Tl 0.000 0.500 0.500

Summary:
Excess energy over the best structure of this formula in the dataset ... 229 meV/atom
Energy relative to the elements ... 0.538 eV per atom
Uncorrected energy ... -3.45 eV/atom
Total moment ... 3.1 μB/f.u.
Density ... 10.09 g/cm³
DOS at the Fermi energy ... 1.0956 states/eV per atom

=====

# 2
# Pm6Co2AuCl3

A relaxed structure of Pm6Co2AuCl3 (GGA-PBE, Alexandria).

Cell lengths 4.007, 8.795, 9.800 Å; angles 108.40, 101.80, 90.00 degrees
Fractional positions:
1 Pm 0.337 0.877 0.673
2 Pm 0.683 0.567 0.367
3 Pm 0.663 0.123 0.327
4 Pm 0.025 0.259 0.051
5 Pm 0.975 0.741 0.949
6 Pm 0.317 0.433 0.633
7 Co 0.831 0.659 0.663
8 Co 0.169 0.341 0.337
9 Au 0.500 0.000 0.000
10 Cl 0.500 0.500 0.000
11 Cl 0.828 0.158 0.656
12 Cl 0.172 0.842 0.344

Summary:
E_form (uncorrected) ... -11.0 eV/f.u.
Uncorrected energy ... -5.21 eV/atom
Total moment ... 0.0 μB/f.u.
Density ... 6.70 g/cm³
DOS at the Fermi energy ... 0.7804 states/eV per atom

=====

# 3
# Ca2GeAs3Rh4

A relaxed structure of Ca2GeAs3Rh4 (GGA-PBE, Alexandria).

Cell lengths 4.201, 4.201, 10.313 Å; angles 90.00, 90.00, 90.00 degrees
Fractional positions:
1 Ca 0.500 0.000 0.254
2 Ca 0.000 0.500 0.746
3 Ge 0.500 0.500 0.500
4 As 0.000 0.000 0.500
5 As 0.500 0.000 0.865
6 As 0.000 0.500 0.135
7 Rh 0.500 0.500 0.000
8 Rh 0.000 0.000 0.000
9 Rh 0.500 0.000 0.629
10 Rh 0.000 0.500 0.371

Summary:
Energy relative to the elements ... -0.769 eV per atom
Uncorrected energy ... -5.97 eV/atom
Total moment ... 0.0 μB/f.u.
Density ... 7.20 g/cm³
DOS at the Fermi energy ... 0.4953 states/eV per atom